Record 1
Entry from Alexandria: a relaxed Pr2CuGe crystal (PBE).

```
Pr2CuGe
1.0
4.3194 0.0000 0.0000
-2.1597 3.7407 0.0000
0.0000 0.0000 26.9487
Pr Cu Ge
6 3 3
direct
0.0000 0.0000 0.1076
0.0000 0.0000 0.8924
0.3333 0.6667 0.5591
0.3333 0.6667 0.7743
0.6667 0.3333 0.2257
0.6667 0.3333 0.4409
0.0000 0.0000 0.0000
0.3333 0.6667 0.6667
0.6667 0.3333 0.3333
0.0000 0.0000 0.5000
0.3333 0.6667 0.1667
0.6667 0.3333 0.8333
```

Values from the calculation:
Its calculated volume is 435.4 Å³/cell. Its symmetry is No. 166. As for the density of states at the Fermi level: 9.90 states/eV per cell. Its density is 4.8 g/cm3. For the total energy, the calculation gives -4.45 eV per atom. Its formation energy is 0.1163 eV/atom.

=====

Record 2
Entry from Alexandria: a relaxed La3PmAg4 crystal (PBE).

```
La3PmAg4
1.0
3.7962 0.0000 0.0000
0.0000 3.7962 0.0000
0.0000 0.0000 15.2285
La Pm Ag
3 1 4
direct
0.0000 0.0000 0.0000
0.0000 0.0000 0.2530
0.0000 0.0000 0.7470
0.0000 0.0000 0.5000
0.5000 0.5000 0.1266
0.5000 0.5000 0.3837
0.5000 0.5000 0.6163
0.5000 0.5000 0.8734
```

Values from the calculation:
Its calculated volume is 219.5 Å³/cell. Its symmetry is No. 123. As for the density of states at the Fermi level: 7.19 states/eV per cell. Its density is 7.5 g/cm3. For the total energy, the calculation gives -4.13 eV per atom. Its formation energy is -0.2618 eV/atom.

=====

Record 3
Entry from Alexandria: a relaxed SmFe2PC crystal (PBE).

```
SmFe2PC
1.0
1.8711 -5.1981 0.0000
1.8711 5.1981 0.0000
0.0000 0.0000 6.7391
Sm Fe P C
2 4 2 2
direct
0.0500 0.9500 0.7500
0.9500 0.0500 0.2500
0.3325 0.6675 0.5577
0.3325 0.6675 0.9423
0.6675 0.3325 0.0577
0.6675 0.3325 0.4423
0.2289 0.7711 0.2500
0.7711 0.2289 0.7500
0.5000 0.5000 0.0000
0.5000 0.5000 0.5000
```

Values from the calculation:
Its calculated volume is 131.1 Å³/cell. Its symmetry is No. 63. As for the density of states at the Fermi level: 6.44 states/eV per cell. Its density is 7.7 g/cm3. For the total energy, the calculation gives -7.89 eV per atom. Its formation energy is -0.6306 eV/atom.

=====

Record 4
Entry from Alexandria: a relaxed Sn3Pb2O8 crystal (PBE).

```
Sn3Pb2O8
1.0
6.4131 0.0000 0.0000
-3.2065 5.5539 0.0000
0.0000 0.0000 12.7590
Sn Pb O
6 4 16
direct
0.1658 0.3317 0.0000
0.1658 0.8342 0.0000
0.3317 0.1658 0.5000
0.6683 0.8342 0.0000
0.8342 0.1658 0.5000
0.8342 0.6683 0.5000
0.3333 0.6667 0.3198
0.3333 0.6667 0.6742
0.6667 0.3333 0.1742
0.6667 0.3333 0.8198
0.0000 0.0000 0.0851
0.0000 0.0000 0.5851
0.0264 0.5132 0.0873
0.1572 0.3145 0.4156
0.1572 0.8428 0.4156
0.3145 0.1572 0.9156
0.3333 0.6667 0.9149
0.4868 0.5132 0.0873
0.4868 0.9736 0.0873
0.5132 0.0264 0.5873
0.5132 0.4868 0.5873
0.6667 0.3333 0.4149
0.6855 0.8428 0.4156
0.8428 0.1572 0.9156
0.8428 0.6855 0.9156
0.9736 0.4868 0.5873
```

Values from the calculation:
Its calculated volume is 454.4 Å³/cell. Its symmetry is No. 186. As for the density of states at the Fermi level: 0.00 states/eV per cell. Its density is 6.6 g/cm3. As for the uncorrected formation energy: -1.456 eV/atom. For the total energy, the calculation gives -6.00 eV per atom.

=====

Record 5
Entry from Alexandria: a relaxed LuThCo crystal (PBE).

```
LuThCo
1.0
6.6825 0.0000 0.0000
0.0000 6.6825 0.0000
0.0000 0.0000 6.6825
Lu Th Co
4 4 4
direct
0.0000 0.0000 0.0000
0.0000 0.5000 0.5000
0.5000 0.0000 0.5000
0.5000 0.5000 0.0000
0.0000 0.0000 0.5000
0.0000 0.5000 0.0000
0.5000 0.0000 0.0000
0.5000 0.5000 0.5000
0.2500 0.2500 0.7500
0.2500 0.7500 0.2500
0.7500 0.2500 0.2500
0.7500 0.7500 0.7500
```

Values from the calculation:
Its calculated volume is 298.4 Å³/cell. Its symmetry is No. 216. As for the density of states at the Fermi level: 9.58 states/eV per cell. Its density is 10.4 g/cm3. For the total energy, the calculation gives -6.42 eV per atom. Its formation energy is -0.0718 eV/atom.

=====

Record 6
Entry from Alexandria: a relaxed PuTlNiS3 crystal (PBE).

```
PuTlNiS3
1.0
8.8151 0.0000 0.0000
0.0000 3.9233 0.0000
-2.8282 0.0000 8.5973
Pu Tl Ni S
2 2 2 6
direct
0.1778 0.2500 0.1584
0.8222 0.7500 0.8416
0.3029 0.7500 0.7750
0.6971 0.2500 0.2250
0.4179 0.7500 0.4141
0.5821 0.2500 0.5859
0.0373 0.2500 0.8435
0.3184 0.2500 0.4667
0.3795 0.7500 0.1482
0.6205 0.2500 0.8518
0.6816 0.7500 0.5333
0.9627 0.7500 0.1565
```

Values from the calculation:
Its calculated volume is 297.3 Å³/cell. Its symmetry is No. 11. As for the density of states at the Fermi level: 17.67 states/eV per cell. Its density is 6.7 g/cm3. As for the uncorrected formation energy: -0.942 eV/atom. For the total energy, the calculation gives -6.75 eV per atom.

=====

Record 7
Entry from Alexandria: a relaxed LaMo2C crystal (PBE).

```
LaMo2C
1.0
0.0000 4.4482 4.4482
4.4482 0.0000 4.4482
4.4482 4.4482 0.0000
La Mo C
2 4 2
direct
0.1250 0.1250 0.1250
0.8750 0.8750 0.8750
0.0000 0.5000 0.5000
0.5000 0.0000 0.5000
0.5000 0.5000 0.0000
0.5000 0.5000 0.5000
0.3750 0.3750 0.3750
0.6250 0.6250 0.6250
```

Values from the calculation:
Its calculated volume is 176.0 Å³/cell. Its symmetry is No. 227. As for the density of states at the Fermi level: 5.11 states/eV per cell. Its density is 6.5 g/cm3. For the total energy, the calculation gives -8.36 eV per atom. Its formation energy is 0.5889 eV/atom.

=====

Record 8
Entry from Alexandria: a relaxed PmHfSb crystal (PBE).

```
PmHfSb
1.0
4.9745 0.0000 0.0000
-2.4872 4.3080 0.0000
0.0000 0.0000 3.8135
Pm Hf Sb
1 1 1
direct
0.0000 0.0000 0.0000
0.6667 0.3333 0.4953
0.3333 0.6667 0.5319
```

Values from the calculation:
Its calculated volume is 81.7 Å³/cell. Its symmetry is No. 156. As for the density of states at the Fermi level: 4.94 states/eV per cell. Its density is 9.0 g/cm3. As for the uncorrected formation energy: -0.182 eV/atom. For the total energy, the calculation gives -6.46 eV per atom.

=====

Record 9
Entry from Alexandria: a relaxed Ca2HfGa crystal (PBE).

```
Ca2HfGa
1.0
8.5338 0.0000 0.0000
0.0000 8.5338 0.0000
0.0000 0.0000 6.0518
Ca Hf Ga
8 4 4
direct
0.2093 0.2500 0.1250
0.2500 0.7093 0.3750
0.2500 0.7907 0.8750
0.2907 0.2500 0.6250
0.7093 0.7500 0.6250
0.7500 0.2093 0.8750
0.7500 0.2907 0.3750
0.7907 0.7500 0.1250
0.0000 0.0000 0.5000
0.0000 0.5000 0.7500
0.5000 0.0000 0.2500
0.5000 0.5000 0.0000
0.0000 0.0000 0.0000
0.0000 0.5000 0.2500
0.5000 0.0000 0.7500
0.5000 0.5000 0.5000
```

Values from the calculation:
Its calculated volume is 440.7 Å³/cell. Its symmetry is No. 122. As for the density of states at the Fermi level: 10.51 states/eV per cell. Its density is 4.9 g/cm3. For the total energy, the calculation gives -3.83 eV per atom. Its formation energy is 0.4132 eV/atom.

=====

Record 10
Entry from Alexandria: a relaxed Ac3Cu2Ge3 crystal (PBE).

```
Ac3Cu2Ge3
1.0
2.2048 -5.7732 0.0000
2.2048 5.7732 0.0000
0.0000 0.0000 16.1525
Ac Cu Ge
6 4 6
direct
0.0667 0.9333 0.7500
0.3543 0.6457 0.5947
0.3543 0.6457 0.9053
0.6457 0.3543 0.0947
0.6457 0.3543 0.4053
0.9333 0.0667 0.2500
0.3564 0.6436 0.1166
0.3564 0.6436 0.3834
0.6436 0.3564 0.6166
0.6436 0.3564 0.8834
0.0793 0.9207 0.5547
0.0793 0.9207 0.9453
0.2203 0.7797 0.2500
0.7797 0.2203 0.7500
0.9207 0.0793 0.0547
0.9207 0.0793 0.4453
```

Values from the calculation:
Its calculated volume is 411.2 Å³/cell. Its symmetry is No. 63. As for the density of states at the Fermi level: 11.30 states/eV per cell. Its density is 8.3 g/cm3. For the total energy, the calculation gives -4.88 eV per atom. Its formation energy is -0.5818 eV/atom.

=====

Record 11
Entry from Alexandria: a relaxed La2Sm4Mg crystal (PBE).

```
La2Sm4Mg
1.0
4.7500 0.0000 0.0000
0.0000 4.7500 0.0000
0.0000 0.0000 11.5144
La Sm Mg
2 4 1
direct
0.0000 0.5000 0.0000
0.5000 0.0000 0.0000
0.2425 0.2425 0.7331
0.2425 0.7575 0.2669
0.7575 0.2425 0.2669
0.7575 0.7575 0.7331
0.5000 0.5000 0.5000
```

Values from the calculation:
Its calculated volume is 259.8 Å³/cell. Its symmetry is No. 111. As for the density of states at the Fermi level: 12.16 states/eV per cell. Its density is 5.8 g/cm3. For the total energy, the calculation gives -3.81 eV per atom. Its formation energy is 0.5220 eV/atom.

=====

Record 12
Entry from Alexandria: a relaxed TlTe2IBr crystal (PBE).

```
TlTe2IBr
1.0
5.4481 0.0000 0.0000
0.0000 5.4481 0.0000
0.0000 0.0000 7.8218
Tl Te I Br
1 2 1 1
direct
0.0000 0.0000 0.0000
0.0000 0.5000 0.5000
0.5000 0.0000 0.5000
0.5000 0.5000 0.0000
0.5000 0.5000 0.5000
```

Values from the calculation:
Its calculated volume is 232.2 Å³/cell. Its symmetry is No. 123. As for the density of states at the Fermi level: 6.50 states/eV per cell. Its density is 4.8 g/cm3. As for the uncorrected formation energy: 0.304 eV/atom. For the total energy, the calculation gives -2.07 eV per atom.